[1]
A geometry-optimized Zn2MoRh2 structure. Source: Alexandria, functional GGA-PBE.

Cell lengths 7.145, 7.145, 2.888 Å; angles 90.00, 90.00, 90.00 degrees
Element x y z (fractional)
Zn: 0.161 0.339 0.000
Zn: 0.339 0.839 0.000
Zn: 0.661 0.161 0.000
Zn: 0.839 0.661 0.000
Mo: 0.000 0.000 0.500
Mo: 0.500 0.500 0.500
Rh: 0.137 0.637 0.500
Rh: 0.363 0.137 0.500
Rh: 0.637 0.863 0.500
Rh: 0.863 0.363 0.500

Computed properties:
N(E_F) = 0.956 states/eV per atom
ΔE to the lowest computed polymorph = 268.1 meV per atom
total moment = 0.0 Bohr magnetons per cell

---

[2]
A geometry-optimized ZnMo2Rh structure. Source: Alexandria, functional GGA-PBE.

Cell lengths 4.713, 4.713, 4.937 Å; angles 96.80, 96.80, 33.52 degrees
Element x y z (fractional)
Zn: 0.000 0.000 0.000
Mo: 0.514 0.514 0.507
Mo: 0.751 0.751 0.249
Rh: 0.253 0.253 0.769

Computed properties:
N(E_F) = 0.701 states/eV per atom
total moment = 0.0 Bohr magnetons per cell

---

[3]
A geometry-optimized ZnMoRh structure. Source: Alexandria, functional GGA-PBE.

Cell lengths 4.734, 4.734, 4.734 Å; angles 145.58, 132.69, 59.80 degrees
Element x y z (fractional)
Zn: 0.000 0.000 0.000
Mo: 0.671 0.671 0.000
Rh: 0.334 0.334 0.000

Computed properties:
N(E_F) = 0.785 states/eV per atom
ΔE to the lowest computed polymorph = 50.3 meV per atom
total moment = 0.0 Bohr magnetons per cell

---

Number 1: E_form 25 meV/atom. Number 2: E_form 31 meV/atom. Number 3: E_form -101 meV/atom.